AsIr2Os: PBEsol geometry, SCAN.

abc: 4.7004 4.7004 4.7004
angles: 131.22 131.22 71.46
With the nearest neighbours (Å) after each atom.
Positions (direct):
As: 0.0000 0.0000 0.0000  8 Ir 2.72, 4 Os 2.75
Ir: 0.2500 0.7500 0.5000  4 As 2.72, 4 Os 2.72, 4 Ir 2.75
Ir: 0.7500 0.2500 0.5000  4 As 2.72, 4 Os 2.72, 4 Ir 2.75
Os: 0.5000 0.5000 0.0000  8 Ir 2.72, 4 As 2.75

Computed properties:
Formation energy from the elements: 0.387 eV/atom
Calculated volume: 57.50 Å³/cell
Symmetry: I4/mmm (139)



ReAgAs: PBEsol geometry, SCAN.

abc: 4.3162 4.3162 4.3162
angles: 60.00 60.00 60.00
With the nearest neighbours (Å) after each atom.
Positions (direct):
Re: 0.0000 0.0000 0.0000  4 Ag 2.64
Ag: 0.7500 0.7500 0.7500  4 As 2.64, 4 Re 2.64
As: 0.5000 0.5000 0.5000  4 Ag 2.64

Computed properties:
Formation energy from the elements: 1.594 eV/atom
Distance to the lowest polymorph of the same formula: 1019 meV/atom
Calculated volume: 56.86 Å³/cell
Symmetry: F-43m (216)



TaSiCl2: PBEsol geometry, SCAN.

abc: 5.3279 5.3279 3.0027
angles: 105.12 105.12 115.62
With the nearest neighbours (Å) after each atom.
Positions (direct):
Ta: 0.0000 0.0000 0.0000  4 Cl 2.66, 4 Si 2.84-2.95
Si: 0.5000 0.5000 0.0000  4 Cl 2.66, 4 Ta 2.84-2.95
Cl: 0.0000 0.5000 0.0000  2 Ta 2.66, 2 Si 2.66, 4 Cl 2.84-2.95
Cl: 0.5000 0.0000 0.0000  2 Ta 2.66, 2 Si 2.66, 4 Cl 2.84-2.95

Computed properties:
Distance to the lowest polymorph of the same formula: 10 meV/atom
E_form (uncorrected): 272 meV per atom
Calculated volume: 67.01 Å³/cell
Symmetry: C2/m (12)



LiMn2Os: PBEsol geometry, SCAN.

abc: 2.8229 2.8229 6.0700
angles: 90.00 90.00 90.00
With the nearest neighbours (Å) after each atom.
Positions (direct):
Li: 0.0000 0.0000 0.0000  8 Mn 2.47
Mn: 0.5000 0.5000 0.2402  4 Li 2.47, 4 Os 2.54
Mn: 0.5000 0.5000 0.7598  4 Li 2.47, 4 Os 2.54
Os: 0.0000 0.0000 0.5000  8 Mn 2.54, 4 Os 2.82

Computed properties:
Formation energy from the elements: 0.135 eV/atom
Calculated volume: 48.37 Å³/cell
Symmetry: P4/mmm (123)



LiY2SiHg: PBEsol geometry, SCAN.

abc: 5.1566 5.1566 4.2254
angles: 90.00 90.00 90.00
With the nearest neighbours (Å) after each atom.
Positions (direct):
Li: 0.0000 0.0000 0.0000  2 Si 2.11
Y: 0.0000 0.5000 0.0000  2 Li 2.58
Y: 0.5000 0.0000 0.0000  2 Li 2.58
Si: 0.0000 0.0000 0.5000  2 Li 2.11
Hg: 0.5000 0.5000 0.5000  8 Y 3.33, 4 Si 3.65

Computed properties:
E_form (uncorrected): -7 meV per atom
Calculated volume: 112.36 Å³/cell
Symmetry: P4/mmm (123)



MnSb2Se: PBEsol geometry, SCAN.

abc: 3.2218 5.5468 5.5468
angles: 57.06 90.00 90.00
With the nearest neighbours (Å) after each atom.
Positions (direct):
Mn: 0.0000 0.0000 0.0000  2 Se 2.37, 4 Sb 2.63-2.65
Sb: 0.0000 0.5011 0.5011  2 Mn 2.65
Sb: 0.5000 0.2131 0.2131  2 Mn 2.63, 2 Se 2.85
Se: 0.5000 0.8217 0.8217  2 Mn 2.37

Computed properties:
E_form (uncorrected): -70 meV per atom
Calculated volume: 83.19 Å³/cell
Symmetry: Amm2 (38)



SnGeI2O: PBEsol geometry, SCAN.

abc: 5.9389 5.9389 3.9704
angles: 90.00 90.00 90.00
With the nearest neighbours (Å) after each atom.
Positions (direct):
Sn: 0.0000 0.0000 0.0000  2 O 1.99
Ge: 0.5000 0.5000 0.5000  8 I 3.57, 2 Ge 3.97
I: 0.0000 0.5000 0.0000  2 Sn 2.97
I: 0.5000 0.0000 0.0000  2 Sn 2.97
O: 0.0000 0.0000 0.5000  2 Sn 1.99

Computed properties:
E_form (uncorrected): 8 meV per atom
Calculated volume: 140.04 Å³/cell
Symmetry: P4/mmm (123)



SrCa4Re: PBEsol geometry, SCAN.

abc: 6.5130 6.5130 6.5130
angles: 60.00 60.00 60.00
With the nearest neighbours (Å) after each atom.
Positions (direct):
Sr: 0.0000 0.0000 0.0000  12 Ca 3.82, 4 Re 3.99
Ca: 0.3770 0.3770 0.3770  6 Ca 3.21-3.31
Ca: 0.3770 0.3770 0.8691  6 Ca 3.21-3.31
Ca: 0.3770 0.8691 0.3770  6 Ca 3.21-3.31
Ca: 0.8691 0.3770 0.3770  6 Ca 3.21-3.31
Re: 0.7500 0.7500 0.7500  12 Ca 3.81, 4 Sr 3.99

Computed properties:
Formation energy from the elements: 1.111 eV/atom
Calculated volume: 195.35 Å³/cell
Symmetry: F-43m (216)